This record from the Alexandria database describes an optimized crystal structure of PdPbAuN2. The functional is PBE.

```
5
Lattice="-0.328 -0.332 -3.911 -5.622 -2.469 0.681 -1.599 3.595 -0.171" Properties=species:S:1:pos:R:3 pbc="T T T"
Au -3.775 0.398 -1.700
N -0.800 1.798 -0.085
N -0.164 -0.166 -1.956
Pb -2.811 -1.234 0.341
Pd 0.000 0.000 0.000
```

Properties
* formation energy without anion corrections: 1354 meV/atom
* V: 96 Å³/cell
* density of states at the Fermi level: 0.738 states/eV/atom
* DFT total energy: -0.1621 hartree per atom

This record from the Alexandria database describes an optimized crystal structure of PbAuS2N. The functional is PBE.

```
5
Lattice="5.305 0.000 0.000 0.000 5.305 0.000 0.000 0.000 3.984" Properties=species:S:1:pos:R:3 pbc="T T T"
S 2.652 0.000 0.000
S 0.000 2.652 0.000
Au 0.000 0.000 0.000
Pb 2.652 2.652 1.992
N 0.000 0.000 1.992
```

Properties
* formation energy without anion corrections: 754 meV/atom
* V: 112 Å³/cell
* E above lowest polymorph: 0.000 eV/atom
* density of states at the Fermi level: 0.630 states/eV/atom
* DFT total energy: -0.1455 hartree per atom

This record from the Alexandria database describes an optimized crystal structure of PbAuSN2. The functional is PBE.

```
5
Lattice="-2.290 -1.899 3.119 3.633 -1.551 1.724 0.448 4.375 2.993" Properties=species:S:1:pos:R:3 pbc="T T T"
Pb 0.896 0.463 3.918
N 1.817 -0.776 0.862
N -1.145 -0.949 1.559
Au 0.000 0.000 0.000
S 0.224 2.188 1.497
```

Properties
* formation energy without anion corrections: 1400 meV/atom
* V: 99 Å³/cell
* E above lowest polymorph: 0.000 eV/atom
* density of states at the Fermi level: 0.503 states/eV/atom
* DFT total energy: -0.1526 hartree per atom

This record from the Alexandria database describes an optimized crystal structure of PbAuS2N. The functional is PBE.

```
5
Lattice="5.235 0.000 0.000 0.000 5.235 0.000 0.000 0.000 4.383" Properties=species:S:1:pos:R:3 pbc="T T T"
S 0.000 2.618 0.000
S 2.618 0.000 0.000
Pb 0.000 0.000 0.000
Au 2.618 2.618 2.191
N 0.000 0.000 2.191
```

Properties
* formation energy without anion corrections: 1381 meV/atom
* V: 120 Å³/cell
* E above lowest polymorph: 0.627 eV/atom
* density of states at the Fermi level: 0.651 states/eV/atom
* DFT total energy: -0.1225 hartree per atom

This record from the Alexandria database describes an optimized crystal structure of PbAuSN2. The functional is PBE.

```
5
Lattice="-1.300 -2.361 3.464 1.684 -3.616 -1.833 4.847 0.993 2.495" Properties=species:S:1:pos:R:3 pbc="T T T"
Au 2.615 -2.492 2.064
N -0.650 -1.181 1.732
N 0.842 -1.808 -0.916
Pb 0.000 0.000 0.000
S 2.424 0.496 1.248
```

Properties
* formation energy without anion corrections: 1840 meV/atom
* V: 107 Å³/cell
* E above lowest polymorph: 0.440 eV/atom
* density of states at the Fermi level: 0.460 states/eV/atom
* DFT total energy: -0.1364 hartree per atom

This record from the Alexandria database describes an optimized crystal structure of Sc4PbAuN. The functional is PBE.

```
14
Lattice="6.249 0.000 0.000 0.000 6.236 0.000 -3.124 0.000 7.210" Properties=species:S:1:pos:R:3 pbc="T T T"
Sc 0.000 4.677 1.129
Sc 1.562 3.118 3.605
Sc 3.124 1.559 1.375
Sc 0.000 4.677 5.835
Sc 3.124 1.559 6.081
Sc -1.562 3.118 3.605
Sc -1.562 0.000 3.605
Sc 1.562 0.000 3.605
Au 3.124 4.677 5.535
Au 0.000 1.559 1.675
N 3.124 1.559 3.611
N 0.000 4.677 3.599
Pb 0.000 1.559 5.681
Pb 3.124 4.677 1.530
```

Properties
* formation energy without anion corrections: -908 meV/atom
* V: 281 Å³/cell
* density of states at the Fermi level: 0.586 states/eV/atom
* DFT total energy: -0.2467 hartree per atom

This record from the Alexandria database describes an optimized crystal structure of PbAuSeN2. The functional is PBE.

```
5
Lattice="4.256 0.000 0.000 0.000 4.256 0.000 0.000 0.000 5.455" Properties=species:S:1:pos:R:3 pbc="T T T"
N 0.000 2.128 0.000
N 2.128 0.000 0.000
Au 0.000 0.000 0.000
Se 0.000 0.000 2.728
Pb 2.128 2.128 2.728
```

Properties
* formation energy without anion corrections: 1388 meV/atom
* V: 99 Å³/cell
* E above lowest polymorph: 0.000 eV/atom
* density of states at the Fermi level: 0.457 states/eV/atom
* DFT total energy: -0.1483 hartree per atom

This record from the Alexandria database describes an optimized crystal structure of PbAuSeN2. The functional is PBE.

```
5
Lattice="-3.061 0.707 2.957 0.163 -4.152 1.162 4.170 1.287 4.010" Properties=species:S:1:pos:R:3 pbc="T T T"
Pb 0.000 0.000 0.000
Se 2.085 0.643 2.005
Au 0.636 -1.079 4.064
N 0.082 -2.076 0.581
N -1.531 0.354 1.478
```

Properties
* formation energy without anion corrections: 1734 meV/atom
* V: 110 Å³/cell
* E above lowest polymorph: 0.346 eV/atom
* density of states at the Fermi level: 0.507 states/eV/atom
* DFT total energy: -0.1356 hartree per atom

This record from the Alexandria database describes an optimized crystal structure of PbAuSe2N. The functional is PBE.

```
5
Lattice="-0.090 -4.410 -3.387 -0.946 -3.326 4.355 -3.802 0.448 -0.483" Properties=species:S:1:pos:R:3 pbc="T T T"
Pb -2.419 -3.643 0.243
Se -0.045 -2.205 -1.693
Se -0.473 -1.663 2.178
Au 0.000 0.000 0.000
N -1.901 0.224 -0.242
```

Properties
* formation energy without anion corrections: 675 meV/atom
* V: 119 Å³/cell
* E above lowest polymorph: 0.000 eV/atom
* density of states at the Fermi level: 0.704 states/eV/atom
* DFT total energy: -0.1390 hartree per atom

This record from the Alexandria database describes an optimized crystal structure of PbAuSe2N. The functional is PBE.

```
5
Lattice="5.560 0.000 0.000 0.000 5.560 0.000 0.000 0.000 4.331" Properties=species:S:1:pos:R:3 pbc="T T T"
Pb 0.000 0.000 0.000
Se 2.780 0.000 0.000
Se 0.000 2.780 0.000
Au 2.780 2.780 2.166
N 0.000 0.000 2.166
```

Properties
* formation energy without anion corrections: 1292 meV/atom
* V: 134 Å³/cell
* E above lowest polymorph: 0.618 eV/atom
* density of states at the Fermi level: 0.885 states/eV/atom
* DFT total energy: -0.1163 hartree per atom

This record from the Alexandria database describes an optimized crystal structure of SrPbAu2N. The functional is PBE.

```
5
Lattice="4.632 0.000 0.000 0.000 5.231 0.000 0.000 0.000 4.632" Properties=species:S:1:pos:R:3 pbc="T T T"
Au 2.316 0.000 0.000
Au 0.000 0.000 2.316
N 0.000 0.000 0.000
Pb 0.000 2.616 0.000
Sr 2.316 2.616 2.316
```

Properties
* formation energy without anion corrections: 374 meV/atom
* V: 112 Å³/cell
* density of states at the Fermi level: 0.542 states/eV/atom
* DFT total energy: -0.1352 hartree per atom

This record from the Alexandria database describes an optimized crystal structure of Sr6Pb2AuN. The functional is PBE.

```
20
Lattice="-2.371 6.662 3.504 -2.140 -4.118 6.381 10.204 1.368 4.304" Properties=species:S:1:pos:R:3 pbc="T T T"
Sr 1.033 2.672 4.505
Sr 5.733 3.302 6.488
Sr 2.344 3.576 7.771
Sr 3.437 0.505 6.155
Sr -2.939 2.982 6.019
Sr 4.422 2.406 3.218
Sr 0.744 -2.776 5.780
Sr 6.248 -2.038 8.102
Sr -1.661 -0.609 4.130
Sr 3.331 5.469 4.829
Sr -2.645 -2.509 7.068
Sr -3.925 1.089 8.960
Au 3.499 -2.402 6.933
Au -1.722 2.298 3.352
N 3.383 2.988 5.495
N -1.606 -3.091 4.790
Pb 2.016 -0.687 2.670
Pb 4.862 1.267 9.767
Pb 7.119 -0.003 4.822
Pb -0.239 0.583 7.615
```

Properties
* formation energy without anion corrections: -568 meV/atom
* V: 695 Å³/cell
* density of states at the Fermi level: 0.391 states/eV/atom
* DFT total energy: -0.1278 hartree per atom